1.
# LaSmScCd

A geometry-optimized LaSmScCd structure (PBE, Alexandria via LeMat-Bulk).

E_form (eV/atom): -0.061
Energy above the lowest structure with this stoichiometry (meV/atom): 56
Volume (Å³/atom): 29.251

CIF file:
```
data_LaSmScCd
_space_group_name_H-M_alt 'F -4 3 m'
_space_group_IT_number 216
_space_group_name_Hall 'F -4 2 3'
_cell_length_a 7.764
_cell_length_b 7.764
_cell_length_c 7.764
_cell_angle_alpha 90.00
_cell_angle_beta 90.00
_cell_angle_gamma 90.00
loop_
_atom_site_label
_atom_site_type_symbol
_atom_site_fract_x
_atom_site_fract_y
_atom_site_fract_z
La1 La 0.000 0.000 0.000
Sm1 Sm 0.000 0.000 0.500
Sc1 Sc 0.250 0.250 0.250
Cd1 Cd 0.250 0.250 0.750
```

2.
# LaSmScCd

A geometry-optimized LaSmScCd structure (PBE, Alexandria via LeMat-Bulk).

E_form (eV/atom): -0.117
Energy above the lowest structure with this stoichiometry (meV/atom): 0
Volume (Å³/atom): 28.838

CIF file:
```
data_LaSmScCd
_space_group_name_H-M_alt 'P 4 m m'
_space_group_IT_number 99
_space_group_name_Hall 'P 4 -2'
_cell_length_a 3.638
_cell_length_b 3.638
_cell_length_c 8.715
_cell_angle_alpha 90.00
_cell_angle_beta 90.00
_cell_angle_gamma 90.00
loop_
_atom_site_label
_atom_site_type_symbol
_atom_site_fract_x
_atom_site_fract_y
_atom_site_fract_z
La1 La 0.000 0.000 0.000
Sm1 Sm 0.500 0.500 0.699
Sc1 Sc 0.500 0.500 0.269
Cd1 Cd 0.000 0.000 0.455
```

3.
# LaSmSc2Cd4

A geometry-optimized LaSmSc2Cd4 structure (PBE, Alexandria via LeMat-Bulk).

E_form (eV/atom): -0.277
Volume (Å³/atom): 25.804

CIF file:
```
data_LaSmSc2Cd4
_space_group_name_H-M_alt 'R -3 m'
_space_group_IT_number 166
_space_group_name_Hall '-R 3 2"'
_cell_length_a 5.2635
_cell_length_b 5.2635
_cell_length_c 25.8118
_cell_angle_alpha 90.00
_cell_angle_beta 90.00
_cell_angle_gamma 120.00
loop_
_atom_site_label
_atom_site_type_symbol
_atom_site_fract_x
_atom_site_fract_y
_atom_site_fract_z
La1 La 0.0000 0.0000 0.0000
Sm1 Sm 0.0000 0.0000 0.5000
Sc1 Sc 0.0000 0.0000 0.2493
Cd1 Cd 0.0000 0.0000 0.1268
Cd2 Cd 0.0000 0.0000 0.3771
```

The calculation returns the following E_tot values, one per record and in order: -4.284, -4.340, -3.524 eV/atom.